K2RbEuV2O8 (PBE+U, optimized geometry); total energy = -98.3 eV/f.u.
1.0
6.111 0.000 0.000
-3.055 5.292 0.000
0.000 0.000 7.821
K Rb Eu V O
2 1 1 2 8
Cartesian
0.000 3.528 5.438
3.055 1.764 2.383
0.000 0.000 0.000
0.000 0.000 3.911
0.000 3.528 1.909
3.055 1.764 5.913
0.000 3.528 0.223
3.055 1.764 7.599
-1.435 4.357 2.517
4.491 0.935 5.305
0.000 1.871 2.517
3.055 3.421 5.305
1.435 4.357 2.517
1.620 0.935 5.305